Entry from Alexandria: a crystal of Ca7Mg relaxed with PBEsol (meta-GGA SCAN).

a b c (Å): 7.551 7.551 7.551
angles (deg): 60.00 60.00 60.00
Fractional positions:
Mg: 0.000 0.000 0.000
Ca: 0.500 0.000 0.000
Ca: 0.500 0.500 0.000
Ca: 0.500 0.500 0.500
Ca: 0.000 0.500 0.000
Ca: 0.000 0.500 0.500
Ca: 0.500 0.000 0.500
Ca: 0.000 0.000 0.500

Summary:
Calculated total energy (eV for the cell shown): -72.42
ΔE_f (kJ/mol of formula units): 19
Fermi-level density of states (states/eV/atom): 0.94
Total moment (μB per atom): 0.1215